No. 1
Compound: SmErRuAu
Source: the Alexandria database
Functional: PBE
Structure: optimized geometry Values from VASP.

Geometry as Quantum ESPRESSO input:
```
&SYSTEM
  ibrav = 0, nat = 4, ntyp = 4
/
ATOMIC_SPECIES
Er 167.26 Er.upf
Sm 150.36 Sm.upf
Au 196.97 Au.upf
Ru 101.07 Ru.upf
CELL_PARAMETERS angstrom
-3.509 1.756 -3.072
-1.722 -2.852 -3.705
-4.632 -1.825 0.207
ATOMIC_POSITIONS crystal
Er 0.000 0.000 0.000
Sm 0.500 0.500 0.500
Au 0.250 0.250 0.250
Ru 0.750 0.750 0.750
```


No. 2
Compound: ErSnRuAu
Source: the Alexandria database
Functional: PBE
Structure: optimized geometry Values from VASP.

Geometry as Quantum ESPRESSO input:
```
&SYSTEM
  ibrav = 0, nat = 4, ntyp = 4
/
ATOMIC_SPECIES
Ru 101.07 Ru.upf
Er 167.26 Er.upf
Sn 118.71 Sn.upf
Au 196.97 Au.upf
CELL_PARAMETERS angstrom
4.795 0.000 0.000
2.397 4.152 0.000
2.397 1.384 3.915
ATOMIC_POSITIONS crystal
Ru 0.750 0.750 0.750
Er 0.000 0.000 0.000
Sn 0.500 0.500 0.500
Au 0.250 0.250 0.250
```


No. 3
Compound: TbErRuAu
Source: the Alexandria database
Functional: PBE
Structure: optimized geometry Values from VASP.

## Properties
polymorph energy (0 for the lowest one): 72 meV/atom

Geometry as Quantum ESPRESSO input:
```
&SYSTEM
  ibrav = 0, nat = 4, ntyp = 4
/
ATOMIC_SPECIES
Er 167.26 Er.upf
Tb 158.93 Tb.upf
Au 196.97 Au.upf
Ru 101.07 Ru.upf
CELL_PARAMETERS angstrom
4.939 0.000 0.000
2.469 4.277 0.000
2.469 1.426 4.033
ATOMIC_POSITIONS crystal
Er 0.000 0.000 0.000
Tb 0.500 0.500 0.500
Au 0.750 0.750 0.750
Ru 0.250 0.250 0.250
```


No. 4
Compound: TbErRuAu
Source: the Alexandria database
Functional: PBE
Structure: optimized geometry Values from VASP.

## Properties
polymorph energy (0 for the lowest one): 0 meV/atom

Geometry as Quantum ESPRESSO input:
```
&SYSTEM
  ibrav = 0, nat = 4, ntyp = 4
/
ATOMIC_SPECIES
Er 167.26 Er.upf
Au 196.97 Au.upf
Tb 158.93 Tb.upf
Ru 101.07 Ru.upf
CELL_PARAMETERS angstrom
3.429 0.000 0.000
0.000 3.429 0.000
0.000 0.000 7.271
ATOMIC_POSITIONS crystal
Er 0.000 0.000 0.376
Au 0.500 0.500 0.113
Tb 0.000 0.000 0.836
Ru 0.500 0.500 0.602
```


No. 5
Compound: YErRuAu
Source: the Alexandria database
Functional: PBE
Structure: optimized geometry Values from VASP.

## Properties
polymorph energy (0 for the lowest one): 0 meV/atom

Geometry as Quantum ESPRESSO input:
```
&SYSTEM
  ibrav = 0, nat = 4, ntyp = 4
/
ATOMIC_SPECIES
Au 196.97 Au.upf
Ru 101.07 Ru.upf
Er 167.26 Er.upf
Y 88.91 Y.upf
CELL_PARAMETERS angstrom
-0.725 2.233 2.502
-1.735 -2.441 1.675
6.062 -1.926 3.474
ATOMIC_POSITIONS crystal
Au 0.500 0.500 0.113
Ru 0.500 0.500 0.601
Er 0.000 0.000 0.376
Y 0.000 0.000 0.837
```


No. 6
Compound: YErRuAu
Source: the Alexandria database
Functional: PBE
Structure: optimized geometry Values from VASP.

## Properties
polymorph energy (0 for the lowest one): 69 meV/atom

Geometry as Quantum ESPRESSO input:
```
&SYSTEM
  ibrav = 0, nat = 4, ntyp = 4
/
ATOMIC_SPECIES
Er 167.26 Er.upf
Ru 101.07 Ru.upf
Au 196.97 Au.upf
Y 88.91 Y.upf
CELL_PARAMETERS angstrom
4.934 0.000 0.000
2.467 4.273 0.000
2.467 1.424 4.029
ATOMIC_POSITIONS crystal
Er 0.250 0.250 0.250
Ru 0.500 0.500 0.500
Au 0.000 0.000 0.000
Y 0.750 0.750 0.750
```


No. 7
Compound: ErZnRuAu
Source: the Alexandria database
Functional: PBE
Structure: optimized geometry Values from VASP.

Geometry as Quantum ESPRESSO input:
```
&SYSTEM
  ibrav = 0, nat = 4, ntyp = 4
/
ATOMIC_SPECIES
Zn 65.41 Zn.upf
Au 196.97 Au.upf
Ru 101.07 Ru.upf
Er 167.26 Er.upf
CELL_PARAMETERS angstrom
-0.673 -0.020 4.604
-3.596 -2.328 1.816
0.742 -3.890 2.443
ATOMIC_POSITIONS crystal
Zn 0.500 0.500 0.500
Au 0.250 0.250 0.250
Ru 0.750 0.750 0.750
Er 0.000 0.000 0.000
```


No. 8
Compound: ErZrRuAu
Source: the Alexandria database
Functional: PBE
Structure: optimized geometry Values from VASP.

Geometry as Quantum ESPRESSO input:
```
&SYSTEM
  ibrav = 0, nat = 4, ntyp = 4
/
ATOMIC_SPECIES
Er 167.26 Er.upf
Ru 101.07 Ru.upf
Au 196.97 Au.upf
Zr 91.22 Zr.upf
CELL_PARAMETERS angstrom
-1.006 2.697 3.879
-1.835 -2.061 3.965
2.700 -0.398 3.985
ATOMIC_POSITIONS crystal
Er 0.750 0.750 0.750
Ru 0.500 0.500 0.500
Au 0.000 0.000 0.000
Zr 0.250 0.250 0.250
```


The records above yield DFT total energy values of -5.997; -5.628; -6.029; -6.101; -6.558; -6.489; -4.902; -6.924 eV per atom, respectively.
The records above yield energy of formation from the pure elements values of -0.54; -0.35; -0.59; -0.66; -0.66; -0.59; -0.30; -0.51 eV/atom, respectively.